DFT (GGA+U) results for LiBeVO4 after structural relaxation.

POSCAR file:
```
LiBeVO4
1.0
-2.289 2.289 3.867
2.289 -2.289 3.867
2.289 2.289 -3.867
Li Be V O
1 1 1 4
direct
0.000 0.000 0.000 Li
0.250 0.750 0.500 Be
0.500 0.500 0.000 V
0.205 0.645 0.098 O
0.355 0.453 0.561 O
0.547 0.107 0.902 O
0.893 0.795 0.439 O
```

Summary:
**Uncorrected energy**: -48.4 eV for the cell shown
**Fermi-level density of states**: 0.00 states/eV/f.u.
**Space-group type**: No. 82